# LaHo5Tl2 GGA-PBE relaxed
# SG = Immm, No. 71
data_LaHo5Tl2
_chemical_formula_sum 'La1 Ho5 Tl2'
_cell_length_a 3.669
_cell_length_b 8.446
_cell_length_c 8.446
_cell_angle_alpha 76.30
_cell_angle_beta 77.46
_cell_angle_gamma 77.46
_symmetry_space_group_name_H-M 'P 1'
_symmetry_Int_Tables_number 1
_symmetry_space_group_name_Hall 'P 1'
loop_
_atom_site_label
_atom_site_fract_x
_atom_site_fract_y
_atom_site_fract_z
Ho1 0.365 0.861 0.409
Ho2 0.635 0.139 0.591
Ho3 0.000 0.500 0.500
Ho4 0.635 0.591 0.139
Ho5 0.365 0.409 0.861
Tl1 0.742 0.758 0.758
Tl2 0.258 0.242 0.242
La1 0.000 0.000 0.000



# ZrAsPdC2 GGA-PBE relaxed
# relative energy among the computed polymorphs = 0.0 meV per atom
# SG = P4/mmm, No. 123
data_ZrAsPdC2
_chemical_formula_sum 'Zr1 As1 Pd1 C2'
_cell_length_a 4.277
_cell_length_b 5.284
_cell_length_c 4.277
_cell_angle_alpha 90.00
_cell_angle_beta 90.00
_cell_angle_gamma 90.00
_symmetry_space_group_name_H-M 'P 1'
_symmetry_Int_Tables_number 1
_symmetry_space_group_name_Hall 'P 1'
loop_
_atom_site_label
_atom_site_fract_x
_atom_site_fract_y
_atom_site_fract_z
Pd1 0.500 0.500 0.500
C1 0.000 0.000 0.500
C2 0.500 0.000 0.000
Zr1 0.000 0.000 0.000
As1 0.000 0.500 0.000



# Sr2LiSi GGA-PBE relaxed
# ΔE_f (raw) = -0.05 eV per formula unit
# SG = P4mm, No. 99
data_Sr2LiSi
_chemical_formula_sum 'Sr2 Li1 Si1'
_cell_length_a 3.828
_cell_length_b 3.828
_cell_length_c 8.653
_cell_angle_alpha 90.00
_cell_angle_beta 90.00
_cell_angle_gamma 89.98
_symmetry_space_group_name_H-M 'P 1'
_symmetry_Int_Tables_number 1
_symmetry_space_group_name_Hall 'P 1'
loop_
_atom_site_label
_atom_site_fract_x
_atom_site_fract_y
_atom_site_fract_z
Li1 0.000 0.000 0.575
Sr1 0.000 0.000 0.921
Sr2 0.500 0.500 0.315
Si1 0.500 0.500 0.690



# MgBrCl GGA-PBE relaxed
# relative energy among the computed polymorphs = 227.4 meV per atom
# ΔE_f (raw) = -4.33 eV per formula unit
# SG = Fmm2, No. 42
data_MgBrCl
_chemical_formula_sum 'Mg1 Br1 Cl1'
_cell_length_a 9.568
_cell_length_b 7.578
_cell_length_c 6.369
_cell_angle_alpha 86.18
_cell_angle_beta 52.21
_cell_angle_gamma 41.62
_symmetry_space_group_name_H-M 'P 1'
_symmetry_Int_Tables_number 1
_symmetry_space_group_name_Hall 'P 1'
loop_
_atom_site_label
_atom_site_fract_x
_atom_site_fract_y
_atom_site_fract_z
Br1 0.048 0.048 0.952
Mg1 0.671 0.671 0.329
Cl1 0.281 0.281 0.719



| no. | total DFT energy (no corrections) (eV/atom) | density (Mg/m³) |
| --- | --- | --- |
| 1 | -4.2019 | 9.33 |
| 2 | -5.6973 | 5.10 |
| 3 | -2.6868 | 2.75 |
| 4 | -3.1465 | 1.44 |